Entry 1:
Rb2NaInCl6: optimized geometry, PBEsol.

## Properties
Final energy, eV per atom: -3.465
M_tot, μB/f.u.: 0.0
Formation energy from raw total energies, kJ/mol of atoms: -155.99

Unit cell a=7.3418 b=7.3418 c=7.3418 alpha=60.00 beta=60.00 gamma=60.00
Sites, in units of the cell vectors:
Rb: 0.2500 0.2500 0.2500
Rb: 0.7500 0.7500 0.7500
Na: 0.0000 0.0000 0.0000
In: 0.5000 0.5000 0.5000
Cl: 0.2588 0.2588 0.7412
Cl: 0.2588 0.7412 0.2588
Cl: 0.2588 0.7412 0.7412
Cl: 0.7412 0.2588 0.2588
Cl: 0.7412 0.2588 0.7412
Cl: 0.7412 0.7412 0.2588

Entry 2:
NaInRe2Cl: optimized geometry, PBEsol.

## Properties
Final energy, eV per atom: -5.365
M_tot, μB/f.u.: 0.0
Formation energy from raw total energies, kJ/mol of atoms: 120.26

Unit cell a=4.3810 b=4.3810 c=4.6786 alpha=90.00 beta=90.00 gamma=90.00
Sites, in units of the cell vectors:
Na: 0.0000 0.0000 0.0000
In: 0.5000 0.5000 0.0000
Re: 0.0000 0.5000 0.5000
Re: 0.5000 0.0000 0.5000
Cl: 0.0000 0.0000 0.5000

Entry 3:
Nb2InCl: optimized geometry, PBEsol.

## Properties
Final energy, eV per atom: -6.311
M_tot, μB/f.u.: 0.0
Formation energy from raw total energies, kJ/mol of atoms: 33.52

Unit cell a=6.5839 b=6.5839 c=6.5839 alpha=90.00 beta=90.00 gamma=90.00
Sites, in units of the cell vectors:
Nb: 0.2500 0.2500 0.2500
Nb: 0.2500 0.2500 0.7500
Nb: 0.2500 0.7500 0.2500
Nb: 0.2500 0.7500 0.7500
Nb: 0.7500 0.2500 0.2500
Nb: 0.7500 0.2500 0.7500
Nb: 0.7500 0.7500 0.2500
Nb: 0.7500 0.7500 0.7500
In: 0.0000 0.0000 0.0000
In: 0.0000 0.5000 0.5000
In: 0.5000 0.0000 0.5000
In: 0.5000 0.5000 0.0000
Cl: 0.0000 0.0000 0.5000
Cl: 0.0000 0.5000 0.0000
Cl: 0.5000 0.0000 0.0000
Cl: 0.5000 0.5000 0.5000

Entry 4:
Nb3In2Cl9: optimized geometry, PBEsol.

## Properties
Final energy, eV per atom: -5.183
M_tot, μB/f.u.: 0.0
Formation energy from raw total energies, kJ/mol of atoms: -110.69

Unit cell a=9.4209 b=9.4209 c=9.4442 alpha=104.47 beta=104.47 gamma=112.20
Sites, in units of the cell vectors:
Nb: 0.0413 0.2268 0.6442
Nb: 0.1099 0.1099 0.3650
Nb: 0.2268 0.0413 0.6442
Nb: 0.7732 0.9587 0.3558
Nb: 0.8901 0.8901 0.6350
Nb: 0.9587 0.7732 0.3558
In: 0.2413 0.5531 0.1666
In: 0.4469 0.7587 0.8334
In: 0.5531 0.2413 0.1666
In: 0.7587 0.4469 0.8334
Cl: 0.0816 0.8607 0.1731
Cl: 0.0921 0.5132 0.8276
Cl: 0.1393 0.9184 0.8269
Cl: 0.1763 0.3967 0.5112
Cl: 0.2193 0.7807 0.5000
Cl: 0.2481 0.2481 0.1993
Cl: 0.3201 0.3201 0.8396
Cl: 0.3967 0.1763 0.5112
Cl: 0.4868 0.9079 0.1724
Cl: 0.5132 0.0921 0.8276
Cl: 0.6033 0.8237 0.4888
Cl: 0.6799 0.6799 0.1604
Cl: 0.7519 0.7519 0.8007
Cl: 0.7807 0.2193 0.5000
Cl: 0.8237 0.6033 0.4888
Cl: 0.8607 0.0816 0.1731
Cl: 0.9079 0.4868 0.1724
Cl: 0.9184 0.1393 0.8269

Entry 5:
NdIn2Cl5: optimized geometry, PBEsol.

## Properties
Final energy, eV per atom: -4.185
M_tot, μB/f.u.: 0.0
Formation energy from raw total energies, kJ/mol of atoms: -148.44

Unit cell a=12.5004 b=8.6494 c=7.9410 alpha=90.00 beta=90.00 gamma=90.00
Sites, in units of the cell vectors:
Nd: 0.0061 0.2500 0.0776
Nd: 0.4939 0.7500 0.5776
Nd: 0.5061 0.2500 0.4224
Nd: 0.9939 0.7500 0.9224
In: 0.1718 0.0078 0.5573
In: 0.1718 0.4922 0.5573
In: 0.3282 0.5078 0.0573
In: 0.3282 0.9922 0.0573
In: 0.6718 0.0078 0.9427
In: 0.6718 0.4922 0.9427
In: 0.8282 0.5078 0.4427
In: 0.8282 0.9922 0.4427
Cl: 0.0049 0.2500 0.4261
Cl: 0.0745 0.5454 0.1695
Cl: 0.0745 0.9546 0.1695
Cl: 0.1884 0.2500 0.8862
Cl: 0.2089 0.7500 0.8410
Cl: 0.2911 0.2500 0.3410
Cl: 0.3116 0.7500 0.3862
Cl: 0.4255 0.0454 0.6695
Cl: 0.4255 0.4546 0.6695
Cl: 0.4951 0.7500 0.9261
Cl: 0.5049 0.2500 0.0739
Cl: 0.5745 0.5454 0.3305
Cl: 0.5745 0.9546 0.3305
Cl: 0.6884 0.2500 0.6138
Cl: 0.7089 0.7500 0.6590
Cl: 0.7911 0.2500 0.1590
Cl: 0.8116 0.7500 0.1138
Cl: 0.9255 0.0454 0.8305
Cl: 0.9255 0.4546 0.8305
Cl: 0.9951 0.7500 0.5739

Entry 6:
In3NiCl: optimized geometry, PBEsol.

## Properties
Final energy, eV per atom: -3.797
M_tot, μB/f.u.: 0.0
Formation energy from raw total energies, kJ/mol of atoms: -36.14

Unit cell a=4.9029 b=4.9029 c=4.9029 alpha=90.00 beta=90.00 gamma=90.00
Sites, in units of the cell vectors:
In: 0.0000 0.0000 0.5000
In: 0.0000 0.5000 0.0000
In: 0.5000 0.0000 0.0000
Ni: 0.0000 0.0000 0.0000
Cl: 0.5000 0.5000 0.5000

Entry 7:
InNiCl: optimized geometry, PBEsol.

## Properties
Final energy, eV per atom: -3.902
M_tot, μB/f.u.: 0.0
Formation energy from raw total energies, kJ/mol of atoms: -17.92

Unit cell a=3.4372 b=3.4372 c=5.2788 alpha=90.00 beta=90.00 gamma=120.00
Sites, in units of the cell vectors:
In: 0.0000 0.0000 0.0000
Ni: 0.3333 0.6667 0.7079
Cl: 0.6667 0.3333 0.4478

Entry 8:
InNi2Cl: optimized geometry, PBEsol.

## Properties
Final energy, eV per atom: -4.036
M_tot, μB/f.u.: 0.0
Formation energy from raw total energies, kJ/mol of atoms: 27.98

Unit cell a=3.5540 b=3.5540 c=9.4984 alpha=90.00 beta=90.00 gamma=90.00
Sites, in units of the cell vectors:
In: 0.0000 0.0000 0.0000
In: 0.5000 0.5000 0.5000
Ni: 0.0000 0.0000 0.5000
Ni: 0.0000 0.5000 0.2500
Ni: 0.5000 0.0000 0.7500
Ni: 0.5000 0.5000 0.0000
Cl: 0.0000 0.5000 0.7500
Cl: 0.5000 0.0000 0.2500